1) Mn3TcB: optimized geometry, PBE.

Cell: 3.8036 3.8036 3.8036 Å, 90.00 90.00 90.00°
Space group Pm-3m (No. 221)
Asymmetric unit:
Mn (0.0000, 0.0000, 0.5000) x3
Tc (0.5000, 0.5000, 0.5000) x1
B (0.0000, 0.0000, 0.0000) x1

Summary:
- DOS(E_F): 0.6963 states/eV per atom

=====

2) Mn3TcB: optimized geometry, PBE.

Cell: 4.5468 4.5468 4.5468 Å, 90.00 90.00 90.00°
Space group Pm-3m (No. 221)
Asymmetric unit:
Mn (0.0000, 0.0000, 0.5000) x3
Tc (0.0000, 0.0000, 0.0000) x1
B (0.5000, 0.5000, 0.5000) x1

Summary:
- DOS(E_F): 1.5459 states/eV per atom

=====

We find 1) to be the most stable, with the next structure 1.868 eV/atom higher.